1) The following is a DFT calculation (GGA-PBE) of a geometry-optimized TlCl2F structure.

a b c (Å): 4.721 4.721 4.721
angles (deg): 60.00 60.00 60.00
Sites, in units of the cell vectors:
Cl  0.250  0.250  0.250
Tl  0.500  0.500  0.500
Cl  0.750  0.750  0.750
F  0.000  0.000  0.000

Properties
The calculation puts the total magnetization at 0.0050 μB/atom. The calculation puts the density of states at the Fermi level at 11.2 states/eV per cell.


2) The following is a DFT calculation (GGA-PBE) of a geometry-optimized TlCl2F structure.

a b c (Å): 7.647 7.647 7.647
angles (deg): 37.21 37.21 37.21
Sites, in units of the cell vectors:
Cl  0.095  0.095  0.095
F  0.000  0.000  0.000
Cl  0.905  0.905  0.905
Tl  0.500  0.500  0.500

Properties
The calculation puts the total magnetization at 0.0000 μB/atom. The calculation puts the density of states at the Fermi level at 0.0 states/eV per cell.


3) The following is a DFT calculation (GGA-PBE) of a geometry-optimized TlCl2F structure.

a b c (Å): 9.511 9.511 7.088
angles (deg): 47.86 47.86 90.00
Sites, in units of the cell vectors:
Cl  0.979  0.625  0.250
Tl  0.000  0.000  0.000
Cl  0.375  0.229  0.750
Cl  0.875  0.021  0.750
Tl  0.750  0.250  0.500
F  0.500  0.500  0.000
Cl  0.771  0.125  0.250
F  0.250  0.750  0.500

Properties
The calculation puts the total magnetization at 0.0000 μB/atom. The calculation puts the density of states at the Fermi level at 0.0 states/eV per cell.


4) The following is a DFT calculation (GGA-PBE) of a geometry-optimized TlCl2F structure.

a b c (Å): 3.801 4.471 6.948
angles (deg): 108.76 105.85 89.99
Sites, in units of the cell vectors:
Cl  0.858  0.867  0.716
Cl  0.142  0.151  0.284
Tl  0.500  0.009  0.000
F  0.500  0.509  0.000

Properties
The calculation puts the total magnetization at 0.0000 μB/atom. The calculation puts the density of states at the Fermi level at 0.0 states/eV per cell.


Which of them is the most stable? Correct choice: 4).


1) The following is a DFT calculation (GGA-PBE) of a geometry-optimized Tl4ClF3 structure.

a b c (Å): 6.483 6.378 10.835
angles (deg): 90.00 90.00 90.00
Sites, in units of the cell vectors:
Tl  0.758  0.974  0.285
F  0.879  0.342  0.757
Tl  0.242  0.474  0.785
F  0.879  0.342  0.243
Cl  0.611  0.891  0.000
Tl  0.147  0.962  0.000
Tl  0.734  0.423  0.000
Tl  0.758  0.974  0.715
Tl  0.853  0.462  0.500
F  0.907  0.076  0.500
F  0.121  0.842  0.743
Cl  0.389  0.391  0.500
F  0.093  0.576  0.000
Tl  0.242  0.474  0.215
F  0.121  0.842  0.257
Tl  0.266  0.923  0.500

Properties
The calculation puts the total magnetization at 0.0000 μB/atom. The calculation puts the density of states at the Fermi level at 0.0 states/eV per cell.


2) The following is a DFT calculation (GGA-PBE) of a geometry-optimized Tl4ClF3 structure.

a b c (Å): 6.421 8.343 9.167
angles (deg): 90.00 90.00 90.00
Sites, in units of the cell vectors:
F  0.485  0.323  0.263
Tl  0.046  0.839  0.500
F  0.985  0.677  0.237
Cl  0.518  0.764  0.500
Tl  0.101  0.363  0.701
Tl  0.101  0.363  0.299
Tl  0.579  0.166  0.500
Tl  0.546  0.161  0.000
F  0.199  0.132  0.500
F  0.699  0.868  0.000
Tl  0.079  0.834  0.000
Tl  0.601  0.637  0.201
Tl  0.601  0.637  0.799
F  0.485  0.323  0.737
Cl  0.018  0.236  0.000
F  0.985  0.677  0.763

Properties
The calculation puts the total magnetization at 0.0000 μB/atom. The calculation puts the density of states at the Fermi level at 0.0 states/eV per cell.


Which of them is the most stable? Correct choice: 1).


1) The following is a DFT calculation (GGA-PBE) of a geometry-optimized Tl4Cl3F structure.

a b c (Å): 8.249 10.541 11.507
angles (deg): 90.00 90.00 90.00
Sites, in units of the cell vectors:
Tl  0.275  0.481  0.457
Tl  0.566  0.790  0.750
Cl  0.632  0.486  0.250
Tl  0.775  0.019  0.457
F  0.816  0.570  0.750
Tl  0.725  0.519  0.543
Cl  0.993  0.300  0.966
Cl  0.007  0.700  0.466
Tl  0.225  0.981  0.957
F  0.316  0.930  0.750
Cl  0.368  0.514  0.750
Tl  0.725  0.519  0.957
Tl  0.275  0.481  0.043
Cl  0.507  0.800  0.034
Tl  0.225  0.981  0.543
Cl  0.993  0.300  0.534
Tl  0.434  0.210  0.250
Cl  0.493  0.200  0.966
Cl  0.132  0.014  0.250
Tl  0.775  0.019  0.043
Tl  0.934  0.290  0.250
F  0.184  0.430  0.250
Tl  0.257  0.753  0.250
Cl  0.868  0.986  0.750
F  0.684  0.070  0.250
Cl  0.007  0.700  0.034
Tl  0.066  0.710  0.750
Cl  0.507  0.800  0.466
Tl  0.757  0.747  0.250
Cl  0.493  0.200  0.534
Tl  0.243  0.253  0.750
Tl  0.743  0.247  0.750

Properties
The calculation puts the total magnetization at 0.0000 μB/atom. The calculation puts the density of states at the Fermi level at 0.0 states/eV per cell.


2) The following is a DFT calculation (GGA-PBE) of a geometry-optimized Tl4Cl3F structure.

a b c (Å): 6.474 6.483 12.652
angles (deg): 90.00 90.00 90.00
Sites, in units of the cell vectors:
Cl  0.571  0.236  0.750
Tl  0.568  0.748  0.726
Tl  0.068  0.252  0.226
Cl  0.570  0.758  0.000
Tl  0.561  0.211  0.500
Cl  0.071  0.764  0.750
F  0.998  0.178  0.000
Cl  0.571  0.236  0.250
Tl  0.568  0.748  0.274
Tl  0.108  0.757  0.500
Tl  0.068  0.252  0.774
Tl  0.061  0.789  0.000
Tl  0.608  0.243  0.000
Cl  0.071  0.764  0.250
Cl  0.070  0.242  0.500
F  0.498  0.822  0.500

Properties
The calculation puts the total magnetization at 0.0000 μB/atom. The calculation puts the density of states at the Fermi level at 0.0 states/eV per cell.


Which of them is the most stable? Correct choice: 2).


1) The following is a DFT calculation (GGA-PBE) of a geometry-optimized UClF3 structure.

a b c (Å): 5.591 5.105 6.779
angles (deg): 89.99 90.00 90.00
Sites, in units of the cell vectors:
U  0.677  0.619  0.201
Cl  0.911  0.070  0.201
F  0.934  0.565  0.467
Cl  0.411  0.283  0.701
F  0.423  0.334  0.201
F  0.433  0.787  0.967
U  0.177  0.734  0.701
F  0.933  0.565  0.934
F  0.922  0.019  0.701
F  0.434  0.788  0.434

Properties
The calculation puts the total magnetization at 0.4000 μB/atom. The calculation puts the density of states at the Fermi level at 8.2 states/eV per cell.


2) The following is a DFT calculation (GGA-PBE) of a geometry-optimized UClF3 structure.

a b c (Å): 5.544 7.217 7.217
angles (deg): 120.00 90.00 90.00
Sites, in units of the cell vectors:
F  0.750  0.170  0.340
F  0.750  0.170  0.830
F  0.250  0.340  0.170
U  0.250  0.667  0.333
U  0.750  0.333  0.667
F  0.750  0.660  0.830
Cl  0.750  0.667  0.333
F  0.250  0.830  0.660
F  0.250  0.830  0.170
Cl  0.250  0.333  0.667

Properties
The calculation puts the total magnetization at 0.4000 μB/atom. The calculation puts the density of states at the Fermi level at 13.4 states/eV per cell.


3) The following is a DFT calculation (GGA-PBE) of a geometry-optimized UClF3 structure.

a b c (Å): 4.461 4.461 4.461
angles (deg): 90.00 90.00 90.00
Sites, in units of the cell vectors:
F  0.500  0.000  0.000
F  0.000  0.000  0.500
F  0.000  0.500  0.000
U  0.000  0.000  0.000
Cl  0.500  0.500  0.500

Properties
The calculation puts the total magnetization at 0.3999 μB/atom. The calculation puts the density of states at the Fermi level at 7.1 states/eV per cell.


Which of them is the most stable? Correct choice: 1).


1) The following is a DFT calculation (GGA-PBE) of a geometry-optimized UClF2 structure.

a b c (Å): 3.940 5.459 7.338
angles (deg): 90.00 90.00 111.18
Sites, in units of the cell vectors:
F  0.323  0.645  0.934
F  0.677  0.355  0.434
F  0.323  0.645  0.566
Cl  0.948  0.896  0.250
U  0.230  0.460  0.250
U  0.770  0.540  0.750
Cl  0.052  0.104  0.750
F  0.677  0.355  0.066

Properties
The calculation puts the total magnetization at 0.7500 μB/atom. The calculation puts the density of states at the Fermi level at 9.0 states/eV per cell.


2) The following is a DFT calculation (GGA-PBE) of a geometry-optimized UClF2 structure.

a b c (Å): 4.091 4.091 5.433
angles (deg): 67.88 67.88 60.00
Sites, in units of the cell vectors:
F  0.705  0.705  0.886
F  0.295  0.295  0.114
Cl  0.500  0.500  0.500
U  0.000  0.000  0.000

Properties
The calculation puts the total magnetization at 0.7500 μB/atom. The calculation puts the density of states at the Fermi level at 10.1 states/eV per cell.


Which of them is the most stable? Correct choice: 1).